{"formula": "AlAu2", "functional": "PBE", "state": "optimized geometry", "cell": [[-1.5231, 1.5231, 11.5091], [1.5231, -1.5231, 11.5091], [1.5231, 1.5231, -11.5091]], "species": ["Al", "Al", "Au", "Au", "Au", "Au"], "frac_coords": [[0.3750, 0.6250, 0.7500], [0.6250, 0.3750, 0.2500], [0.0543, 0.8043, 0.2500], [0.1957, 0.9457, 0.2500], [0.8043, 0.0543, 0.7500], [0.9457, 0.1957, 0.7500]], "m_tot_mub_per_cell": 0.0, "dft_energy_ev_per_cell": -22.1}

{"formula": "AlAu5", "functional": "PBE", "state": "optimized geometry", "cell": [[5.1141, -1.5650, 0.0000], [5.1141, 1.5650, 0.0000], [-2.4710, 0.0000, 6.5851]], "species": ["Al", "Au", "Au", "Au", "Au", "Au"], "frac_coords": [[0.0000, 0.0000, 0.0000], [0.3312, 0.3312, 0.6882], [0.3483, 0.3483, 0.1447], [0.6429, 0.6429, 0.8409], [0.6648, 0.6648, 0.3103], [0.9945, 0.9945, 0.4933]], "m_tot_mub_per_cell": 0.0, "dft_energy_ev_per_cell": -21.0, "de_polymorph_mev_per_atom": 0}

{"formula": "Al2Au", "functional": "PBE", "state": "optimized geometry", "cell": [[1.5856, -6.7986, 0.0000], [1.5856, 6.7986, 0.0000], [0.0000, 0.0000, 4.7996]], "species": ["Al", "Al", "Al", "Al", "Au", "Au"], "frac_coords": [[0.0511, 0.9489, 0.7500], [0.2803, 0.7197, 0.2500], [0.7197, 0.2803, 0.7500], [0.9489, 0.0511, 0.2500], [0.3793, 0.6207, 0.7500], [0.6207, 0.3793, 0.2500]], "m_tot_mub_per_cell": 0.0, "dft_energy_ev_per_cell": -22.5}

{"formula": "Al2Au", "functional": "PBE", "state": "optimized geometry", "cell": [[-1.6614, 2.6781, 5.9004], [1.6614, -2.6781, 5.9004], [1.6614, 2.6781, -5.9004]], "species": ["Al", "Al", "Al", "Al", "Au", "Au"], "frac_coords": [[0.1877, 0.1877, 0.0000], [0.2373, 0.5000, 0.7373], [0.7627, 0.5000, 0.2627], [0.8123, 0.8123, 0.0000], [0.3626, 0.8626, 0.5000], [0.6374, 0.1374, 0.5000]], "m_tot_mub_per_cell": 0.0, "dft_energy_ev_per_cell": -23.1}